Model A:
KTcP2 at its PBEsol-relaxed geometry, computed with meta-GGA SCAN.

Output
Fermi-level density of states	0.715	states/eV per atom
magnetization	0.00	μB per formula unit

Unit cell a=7.5587 b=7.5826 c=2.4989 alpha=90.00 beta=98.18 gamma=90.00
Space group C2/m (No. 12)
Asymmetric unit:
K1 0.0000 0.0000 0.0000 (multiplicity 2)
Tc1 0.0000 0.5000 0.0000 (multiplicity 2)
P1 0.2500 0.2500 0.0000 (multiplicity 4)

Model B:
KTcP2 at its PBEsol-relaxed geometry, computed with meta-GGA SCAN.

Output
Fermi-level density of states	0.632	states/eV per atom
magnetization	1.53	μB per formula unit

Unit cell a=6.3530 b=6.3530 c=6.3530 alpha=90.00 beta=90.00 gamma=90.00
Space group F-43m (No. 216)
Asymmetric unit:
K1 0.0000 0.0000 0.0000 (multiplicity 4)
Tc1 0.2500 0.2500 0.2500 (multiplicity 4)
P1 0.0000 0.0000 0.5000 (multiplicity 4)
P2 0.2500 0.2500 0.7500 (multiplicity 4)

Model C:
KTcP2 at its PBEsol-relaxed geometry, computed with meta-GGA SCAN.

Output
Fermi-level density of states	0.150	states/eV per atom
magnetization	0.00	μB per formula unit

Unit cell a=3.2377 b=3.2377 c=24.4239 alpha=90.00 beta=90.00 gamma=120.00
Space group R-3m (No. 166, hexagonal axes)
Asymmetric unit:
K1 0.0000 0.0000 0.0000 (multiplicity 3)
Tc1 0.0000 0.0000 0.5000 (multiplicity 3)
P1 0.0000 0.0000 0.2294 (multiplicity 6)

Stability ranking, top and bottom: model C is the most stable and model B is the least stable.